Compound: CaAlCo3
Source: Alexandria via LeMat-Bulk
Functional: PBE
Structure: optimized geometry

Excess energy over the best structure of this formula in the dataset: 0.000 eV/atom
Crystal system: cubic
Calculated total energy: -4.861 eV/atom

Unit cell a=4.423 b=4.423 c=4.423 alpha=90.00 beta=90.00 gamma=90.00
Site moments in Bohr magnetons follow the coordinates.
Fractional positions:
Ca  0.500  0.500  0.500  -0.07
Al  0.000  0.000  0.000  -0.06
Co  0.500  0.000  0.000  0.79
Co  0.000  0.000  0.500  0.94
Co  0.000  0.500  0.000  0.93

Compound: CaAl2Co
Source: Alexandria via LeMat-Bulk
Functional: PBE
Structure: optimized geometry

Crystal system: orthorhombic
Calculated total energy: -4.193 eV/atom

Unit cell a=5.682 b=5.682 c=5.682 alpha=149.48 beta=128.71 gamma=60.86
Site moments in Bohr magnetons follow the coordinates.
Fractional positions:
Co  0.250  0.750  0.500  0.63
Ca  0.750  0.250  0.500  -0.02
Al  0.451  0.451  0.000  0.00
Al  0.049  0.049  0.000  0.00

Compound: CaAl3Co
Source: Alexandria via LeMat-Bulk
Functional: PBE
Structure: optimized geometry

Excess energy over the best structure of this formula in the dataset: 2.120 eV/atom
Crystal system: cubic
Calculated total energy: -2.249 eV/atom

Unit cell a=5.425 b=5.425 c=5.425 alpha=90.00 beta=90.00 gamma=90.00
Site moments in Bohr magnetons follow the coordinates.
Fractional positions:
Ca  0.000  0.000  0.000  0.00
Al  0.000  0.000  0.500  0.00
Al  0.500  0.000  0.000  0.01
Al  0.000  0.500  0.000  -0.01
Co  0.500  0.500  0.500  2.12

Compound: CaAl2Co
Source: Alexandria via LeMat-Bulk
Functional: PBE
Structure: optimized geometry

Crystal system: tetragonal
Calculated total energy: -4.051 eV/atom

Unit cell a=4.002 b=4.002 c=4.465 alpha=90.00 beta=90.00 gamma=90.00
Site moments in Bohr magnetons follow the coordinates.
Fractional positions:
Ca  0.500  0.000  0.500  -0.04
Al  0.500  0.500  0.000  -0.01
Al  0.000  0.000  0.000  -0.01
Co  0.000  0.500  0.500  1.00

Compound: CaAl2Co
Source: Alexandria via LeMat-Bulk
Functional: PBE
Structure: optimized geometry

Crystal system: orthorhombic
Calculated total energy: -4.080 eV/atom

Unit cell a=4.606 b=4.606 c=4.610 alpha=121.23 beta=118.76 gamma=89.96
Site moments in Bohr magnetons follow the coordinates.
Fractional positions:
Ca  0.499  0.499  0.000  -0.01
Al  0.762  0.262  0.500  0.01
Al  0.009  0.009  0.000  0.00
Co  0.230  0.730  0.500  0.96

Compound: CaAlCo4
Source: Alexandria via LeMat-Bulk
Functional: PBE
Structure: optimized geometry

Crystal system: cubic
Calculated total energy: -5.707 eV/atom

Unit cell a=4.904 b=4.904 c=4.904 alpha=60.00 beta=60.00 gamma=60.00
Site moments in Bohr magnetons follow the coordinates.
Fractional positions:
Co  0.376  0.872  0.376  1.43
Co  0.872  0.376  0.376  1.43
Co  0.376  0.376  0.872  1.43
Co  0.376  0.376  0.376  1.43
Al  0.750  0.750  0.750  -0.02
Ca  0.000  0.000  0.000  -0.09

Compound: CaAlCo2
Source: Alexandria via LeMat-Bulk
Functional: PBE
Structure: optimized geometry

Crystal system: orthorhombic
Calculated total energy: -4.863 eV/atom

Unit cell a=5.452 b=5.452 c=5.452 alpha=149.08 beta=131.04 gamma=59.04
Site moments in Bohr magnetons follow the coordinates.
Fractional positions:
Co  0.035  0.035  0.000  1.28
Co  0.243  0.743  0.500  1.04
Al  0.466  0.466  0.000  -0.02
Ca  0.756  0.256  0.500  -0.08

Compound: CaAl4Co
Source: Alexandria via LeMat-Bulk
Functional: PBE
Structure: optimized geometry

Crystal system: cubic
Calculated total energy: -3.939 eV/atom

Unit cell a=5.348 b=5.348 c=5.348 alpha=60.00 beta=60.00 gamma=60.00
Site moments in Bohr magnetons follow the coordinates.
Fractional positions:
Al  0.375  0.375  0.875  0.01
Al  0.875  0.375  0.375  0.01
Al  0.375  0.875  0.375  0.01
Al  0.375  0.375  0.375  0.01
Ca  0.750  0.750  0.750  0.00
Co  0.000  0.000  0.000  1.45

Compound: CaAlCo2
Source: Alexandria via LeMat-Bulk
Functional: PBE
Structure: optimized geometry

Crystal system: monoclinic
Calculated total energy: -4.897 eV/atom

Unit cell a=3.977 b=3.055 c=5.815 alpha=74.78 beta=90.00 gamma=90.00
Site moments in Bohr magnetons follow the coordinates.
Fractional positions:
Al  0.000  0.486  0.402  -0.01
Co  0.000  0.158  0.059  1.44
Co  0.500  0.059  0.260  1.32
Ca  0.500  0.797  0.780  -0.03

Compound: CaAl2Co
Source: Alexandria via LeMat-Bulk
Functional: PBE
Structure: optimized geometry

Crystal system: orthorhombic
Calculated total energy: -4.283 eV/atom

Unit cell a=3.180 b=3.155 c=7.811 alpha=66.22 beta=90.00 gamma=90.00
Site moments in Bohr magnetons follow the coordinates.
Fractional positions:
Co  0.500  0.674  0.825  0.29
Ca  0.000  0.474  0.527  -0.02
Al  0.000  0.045  0.955  -0.01
Al  0.500  0.307  0.193  0.00

Compound: CaAlCo2
Source: Alexandria via LeMat-Bulk
Functional: PBE
Structure: optimized geometry

Crystal system: tetragonal
Calculated total energy: -4.694 eV/atom

Unit cell a=5.132 b=5.132 c=5.132 alpha=137.03 beta=137.03 gamma=62.39
Site moments in Bohr magnetons follow the coordinates.
Fractional positions:
Co  0.250  0.750  0.500  0.75
Co  0.000  0.000  0.000  1.10
Ca  0.750  0.250  0.500  -0.06
Al  0.500  0.500  0.000  -0.03

Compound: CaAl2Co
Source: Alexandria via LeMat-Bulk
Functional: PBE
Structure: optimized geometry

Crystal system: trigonal
Calculated total energy: -4.429 eV/atom

Unit cell a=4.187 b=4.187 c=5.873 alpha=69.09 beta=69.09 gamma=60.00
Fractional positions:
Al  0.700  0.700  0.901
Al  0.972  0.972  0.082
Co  0.323  0.323  0.031
Ca  0.505  0.505  0.486